No. 1
# Ta3W5 GGA-PBE optimized geometry
data_Ta3W5
_symmetry_space_group_name_H-M 'I m -3 m'
_symmetry_Int_Tables_number 229
_symmetry_space_group_name_Hall '-I 4 2 3'
_cell_length_a 6.444
_cell_length_b 6.444
_cell_length_c 6.444
_cell_angle_alpha 90.00
_cell_angle_beta 90.00
_cell_angle_gamma 90.00
loop_
_atom_site_label
_atom_site_type_symbol
_atom_site_fract_x
_atom_site_fract_y
_atom_site_fract_z
_atom_site_occupancy
Ta1 Ta 0.000 0.000 0.500 1
W1 W 0.000 0.000 0.000 1
W2 W 0.250 0.250 0.250 1
# size of the total moment: 0.000 μB per cell
# ΔH_f (0 K): -89.3 kJ/mol of formula units
# V: 16.72 Å³/atom



No. 2
# K2BaY GGA-PBE optimized geometry
data_K2BaY
_symmetry_space_group_name_H-M 'P 4/m m m'
_symmetry_Int_Tables_number 123
_symmetry_space_group_name_Hall '-P 4 2'
_cell_length_a 3.904
_cell_length_b 3.904
_cell_length_c 14.115
_cell_angle_alpha 90.00
_cell_angle_beta 90.00
_cell_angle_gamma 90.00
loop_
_atom_site_label
_atom_site_type_symbol
_atom_site_fract_x
_atom_site_fract_y
_atom_site_fract_z
_atom_site_occupancy
K1 K 0.000 0.000 0.229 1
Ba1 Ba 0.500 0.500 0.500 1
Y1 Y 0.500 0.500 0.000 1
# size of the total moment: 0.697 μB per cell
# ΔH_f (0 K): 166.9 kJ/mol of formula units
# V: 53.77 Å³/atom



No. 3
# Cu5RhAu6 GGA-PBE optimized geometry
data_Cu5RhAu6
_symmetry_space_group_name_H-M 'I m m m'
_symmetry_Int_Tables_number 71
_symmetry_space_group_name_Hall '-I 2 2'
_cell_length_a 4.150
_cell_length_b 7.226
_cell_length_c 12.241
_cell_angle_alpha 90.00
_cell_angle_beta 90.00
_cell_angle_gamma 90.00
loop_
_atom_site_label
_atom_site_type_symbol
_atom_site_fract_x
_atom_site_fract_y
_atom_site_fract_z
_atom_site_occupancy
Cu1 Cu 0.000 0.000 0.000 1
Cu2 Cu 0.000 0.000 0.341 1
Cu3 Cu 0.000 0.500 0.328 1
Rh1 Rh 0.000 0.500 0.000 1
Au1 Au 0.000 0.240 0.168 1
Au2 Au 0.000 0.263 0.500 1
# size of the total moment: 0.000 μB per cell
# ΔH_f (0 K): -4.7 kJ/mol of formula units
# V: 15.30 Å³/atom



No. 4
# CeThSbSe2 GGA-PBE optimized geometry
data_CeThSbSe2
_symmetry_space_group_name_H-M 'I 4 m m'
_symmetry_Int_Tables_number 107
_symmetry_space_group_name_Hall 'I 4 -2'
_cell_length_a 4.533
_cell_length_b 4.533
_cell_length_c 14.381
_cell_angle_alpha 90.00
_cell_angle_beta 90.00
_cell_angle_gamma 90.00
loop_
_atom_site_label
_atom_site_type_symbol
_atom_site_fract_x
_atom_site_fract_y
_atom_site_fract_z
_atom_site_occupancy
Ce1 Ce 0.000 0.000 0.000 1
Th1 Th 0.000 0.000 0.750 1
Sb1 Sb 0.000 0.000 0.367 1
Se1 Se 0.000 0.500 0.124 1
# size of the total moment: 2.011 μB per cell
# calculated total energy: -6.051 eV per atom
# V: 29.55 Å³/atom



No. 5
# LiLa2Ag GGA-PBE optimized geometry
data_LiLa2Ag
_symmetry_space_group_name_H-M 'P 1 21/m 1'
_symmetry_Int_Tables_number 11
_cell_length_a 7.477
_cell_length_b 4.242
_cell_length_c 7.520
_cell_angle_alpha 90.00
_cell_angle_beta 109.15
_cell_angle_gamma 90.00
loop_
_symmetry_equiv_pos_as_xyz
'x,y,z'
'-x,-y,-z'
'-x,y+1/2,-z'
'x,-y+1/2,z'
loop_
_atom_site_label
_atom_site_type_symbol
_atom_site_fract_x
_atom_site_fract_y
_atom_site_fract_z
_atom_site_occupancy
Li1 Li 0.079 0.250 0.175 1
La1 La 0.290 0.750 0.553 1
La2 La 0.369 0.750 0.096 1
Ag1 Ag 0.124 0.250 0.793 1
# size of the total moment: 0.000 μB per cell
# ΔH_f (0 K): -27.6 kJ/mol of formula units
# V: 28.17 Å³/atom



No. 6
# Zr2AlBr GGA-PBE optimized geometry
data_Zr2AlBr
_symmetry_space_group_name_H-M 'P 4/m m m'
_symmetry_Int_Tables_number 123
_symmetry_space_group_name_Hall '-P 4 2'
_cell_length_a 3.205
_cell_length_b 3.205
_cell_length_c 7.831
_cell_angle_alpha 90.00
_cell_angle_beta 90.00
_cell_angle_gamma 90.00
loop_
_atom_site_label
_atom_site_type_symbol
_atom_site_fract_x
_atom_site_fract_y
_atom_site_fract_z
_atom_site_occupancy
Zr1 Zr 0.000 0.000 0.241 1
Al1 Al 0.500 0.500 0.000 1
Br1 Br 0.500 0.500 0.500 1
# size of the total moment: 0.000 μB per cell
# calculated total energy: -5.992 eV per atom
# V: 20.11 Å³/atom



Q: The highest V belongs to which entry?
A: K2BaY



Q: Look up the V of the first one.
A: 16.72 Å³/atom



Q: Among the records above, which one has the highest size of the total moment?
A: CeThSbSe2